Density functional theory data (GGA-PBE) for a relaxed structure of TaV3Si2.

Properties
calculated volume: 14.34 Å³ per atom
total magnetization: 0.0 μB/f.u.
space-group type: C2/m
DOS(E_F): 7.54 states/eV/cell

Lattice parameters (Å, degrees): 3.3703 8.2490 7.5879 122.75 90.00 101.79
Element x y z (fractional)
V 0.6518 0.3037 0.8358
V 0.6847 0.3694 0.4689
V 0.3153 0.6306 0.5311
V 0.3482 0.6963 0.1642
V 0.0493 0.0986 0.4427
V 0.9507 0.9014 0.5573
Si 0.4908 0.9816 0.8267
Si 0.2348 0.4696 0.7510
Si 0.5092 0.0184 0.1733
Si 0.7652 0.5304 0.2490
Ta 0.8809 0.7618 0.8933
Ta 0.1191 0.2382 0.1067

---

Density functional theory data (GGA-PBE) for a relaxed structure of TaVSi.

Properties
calculated volume: 15.01 Å³ per atom
total magnetization: 0.0 μB/f.u.
space-group type: P3m1
DOS(E_F): 1.91 states/eV/cell

Lattice parameters (Å, degrees): 2.7456 4.3516 4.3516 120.00 90.00 90.00
Element x y z (fractional)
Ta 0.6473 0.3333 0.6667
Si 0.0536 0.0000 0.0000
V 0.2991 0.6667 0.3333

---

Density functional theory data (GGA-PBE) for a relaxed structure of TaV2Si6.

Properties
calculated volume: 13.48 Å³ per atom
total magnetization: 0.0 μB/f.u.
space-group type: C222
DOS(E_F): 4.53 states/eV/cell

Lattice parameters (Å, degrees): 4.6810 4.6486 6.4521 90.00 90.00 120.23
Element x y z (fractional)
Si 0.3226 0.1679 0.6600
Si 0.6774 0.8321 0.6600
Si 0.1546 0.8321 0.3400
Si 0.8454 0.1679 0.3400
Si 0.8380 0.6760 0.0000
Si 0.1620 0.3240 0.0000
V 0.0000 0.5000 0.6689
V 0.5000 0.5000 0.3311
Ta 0.5000 0.0000 0.0000

---

Computed values of formation energy without anion corrections (unit: meV/atom) for the preceding records, in sequence: -393, -119, -463.